1.
## CaHfCr2Sn (PBE)

Data for a relaxed structure of CaHfCr2Sn.

Results
magnetic moment = 8.8 μB/f.u.
V = 145.9 Å³ per cell
formation energy = 1.015 eV/atom
Fermi-level density of states = 6.68 states/eV per cell
space group = P4/mmm

Unit cell a=5.192 b=5.192 c=5.411 alpha=90.00 beta=90.00 gamma=90.00
Atoms (fractional coordinates):
Ca1 0.000 0.000 0.000
Hf1 0.500 0.500 0.000
Cr1 0.000 0.500 0.500
Cr2 0.500 0.000 0.500
Sn1 0.500 0.500 0.500

=====

2.
## Zn2Ni5H2 (PBE)

Data for a relaxed structure of Zn2Ni5H2.

Results
magnetic moment = 0.0 μB/f.u.
V = 85.5 Å³ per cell
VASP energy = -4.36 eV per atom
Fermi-level density of states = 5.48 states/eV per cell
space group = C2/m

Unit cell a=4.580 b=4.580 c=5.652 alpha=94.70 beta=94.70 gamma=46.40
Atoms (fractional coordinates):
Zn1 0.067 0.067 0.216
Zn2 0.933 0.933 0.784
Ni1 0.216 0.216 0.650
Ni2 0.356 0.356 0.068
Ni3 0.500 0.500 0.500
Ni4 0.644 0.644 0.932
Ni5 0.784 0.784 0.350
H1 0.315 0.315 0.372
H2 0.685 0.685 0.628

=====

3.
## HfTa2H8 (PBE)

Data for a relaxed structure of HfTa2H8.

Results
energy above the most stable polymorph in this dataset = 66.4 meV/atom
magnetic moment = 0.0 μB/f.u.
V = 75.6 Å³ per cell
Fermi-level density of states = 3.95 states/eV per cell
space group = Immm

Unit cell a=5.852 b=5.852 c=5.852 alpha=147.50 beta=134.96 gamma=56.63
Atoms (fractional coordinates):
Hf1 0.000 0.000 0.000
Ta1 0.338 0.338 0.000
Ta2 0.662 0.662 0.000
H1 0.091 0.831 0.260
H2 0.128 0.628 0.500
H3 0.295 0.500 0.795
H4 0.429 0.169 0.260
H5 0.571 0.831 0.740
H6 0.705 0.500 0.205
H7 0.872 0.372 0.500
H8 0.909 0.169 0.740

=====

4.
## LiW5 (PBE)

Data for a relaxed structure of LiW5.

Results
energy above the most stable polymorph in this dataset = 173.4 meV/atom
magnetic moment = 0.0 μB/f.u.
V = 96.0 Å³ per cell
formation energy = 0.477 eV/atom
Fermi-level density of states = 3.47 states/eV per cell
space group = Cm

Unit cell a=5.535 b=5.535 c=7.032 alpha=104.12 beta=104.12 gamma=27.40
Atoms (fractional coordinates):
Li1 0.000 0.000 0.000
W1 0.060 0.060 0.644
W2 0.330 0.330 0.667
W3 0.409 0.409 0.296
W4 0.667 0.667 0.331
W5 0.735 0.735 0.972

=====

5.
## ZnNiIr2 (PBE)

Data for a relaxed structure of ZnNiIr2.

Results
magnetic moment = 0.0 μB/f.u.
V = 54.4 Å³ per cell
formation energy = -0.072 eV/atom
Fermi-level density of states = 3.61 states/eV per cell
space group = Cm

Unit cell a=4.644 b=4.644 c=4.533 alpha=99.64 beta=99.64 gamma=34.41
Atoms (fractional coordinates):
Zn1 0.000 0.000 0.000
Ni1 0.752 0.752 0.216
Ir1 0.244 0.244 0.705
Ir2 0.499 0.499 0.493

=====

6.
## Y2TlI (PBE)

Data for a relaxed structure of Y2TlI.

Results
energy above the most stable polymorph in this dataset = 415.9 meV/atom
magnetic moment = 0.0 μB/f.u.
V = 328.5 Å³ per cell
Fermi-level density of states = 2.03 states/eV per cell
space group = I-42d
uncorrected formation energy = -0.045 eV per atom

Unit cell a=9.088 b=9.088 c=9.088 alpha=138.31 beta=138.31 gamma=60.43
Atoms (fractional coordinates):
Y1 0.094 0.625 0.969
Y2 0.375 0.344 0.469
Y3 0.656 0.125 0.031
Y4 0.875 0.906 0.531
Tl1 0.000 0.000 0.000
Tl2 0.750 0.250 0.500
I1 0.250 0.750 0.500
I2 0.500 0.500 0.000